Arrangement w

DFT (PBE) results for a relaxed Cr2Fe2Cu crystal.

Its calculated density is 8.02 g/cm3.

Unit cell a=6.6989 b=6.6989 c=2.5772 alpha=90.00 beta=90.00 gamma=90.00
Fractional positions:
Cr: 0.1631 0.3369 0.0000
Cr: 0.3369 0.8369 0.0000
Cr: 0.6631 0.1631 0.0000
Cr: 0.8369 0.6631 0.0000
Fe: 0.1341 0.6341 0.5000
Fe: 0.3659 0.1341 0.5000
Fe: 0.6341 0.8659 0.5000
Fe: 0.8659 0.3659 0.5000
Cu: 0.0000 0.0000 0.5000
Cu: 0.5000 0.5000 0.5000

Arrangement x

DFT (PBE) results for a relaxed Cr2Fe2Cu crystal.

Its calculated density is 7.89 g/cm3.

Unit cell a=6.8342 b=6.8342 c=2.5158 alpha=90.00 beta=90.00 gamma=90.00
Fractional positions:
Cr: 0.1430 0.3570 0.0000
Cr: 0.3570 0.8570 0.0000
Cr: 0.6430 0.1430 0.0000
Cr: 0.8570 0.6430 0.0000
Fe: 0.1506 0.6506 0.5000
Fe: 0.3494 0.1506 0.5000
Fe: 0.6506 0.8494 0.5000
Fe: 0.8494 0.3494 0.5000
Cu: 0.0000 0.0000 0.0000
Cu: 0.5000 0.5000 0.0000

Which structure wins on stability? arrangement w wins.

Arrangement w

DFT (PBE) results for a relaxed Cr2Ga2Cu crystal.

Its calculated density is 6.92 g/cm3.

Unit cell a=6.3660 b=6.3660 c=3.6329 alpha=90.00 beta=90.00 gamma=90.00
Fractional positions:
Cr: 0.1617 0.3383 0.0000
Cr: 0.3383 0.8383 0.0000
Cr: 0.6617 0.1617 0.0000
Cr: 0.8383 0.6617 0.0000
Ga: 0.1409 0.6409 0.5000
Ga: 0.3591 0.1409 0.5000
Ga: 0.6409 0.8591 0.5000
Ga: 0.8591 0.3591 0.5000
Cu: 0.0000 0.0000 0.5000
Cu: 0.5000 0.5000 0.5000

Arrangement x

DFT (PBE) results for a relaxed Cr2Ga2Cu crystal.

Its calculated density is 7.27 g/cm3.

Unit cell a=6.6252 b=6.6252 c=3.1964 alpha=90.00 beta=90.00 gamma=90.00
Fractional positions:
Cr: 0.1095 0.3905 0.0000
Cr: 0.3905 0.8905 0.0000
Cr: 0.6095 0.1095 0.0000
Cr: 0.8905 0.6095 0.0000
Ga: 0.1865 0.6865 0.5000
Ga: 0.3135 0.1865 0.5000
Ga: 0.6865 0.8135 0.5000
Ga: 0.8135 0.3135 0.5000
Cu: 0.0000 0.0000 0.0000
Cu: 0.5000 0.5000 0.0000

Arrangement y

DFT (PBE) results for a relaxed Cr2Ga2Cu crystal.

Its calculated density is 6.85 g/cm3.

Unit cell a=3.5851 b=3.5851 c=11.5760 alpha=90.00 beta=90.00 gamma=90.00
Fractional positions:
Cr: 0.0000 0.0000 0.0830
Cr: 0.0000 0.0000 0.9170
Cr: 0.5000 0.5000 0.4170
Cr: 0.5000 0.5000 0.5830
Ga: 0.0000 0.5000 0.2500
Ga: 0.0000 0.5000 0.7500
Ga: 0.5000 0.0000 0.2500
Ga: 0.5000 0.0000 0.7500
Cu: 0.0000 0.0000 0.5000
Cu: 0.5000 0.5000 0.0000

Which structure wins on stability? arrangement w wins.

Arrangement w

DFT (PBE) results for a relaxed Cr3CuGe crystal.

Its calculated density is 4.60 g/cm3.

Unit cell a=4.7235 b=4.7235 c=4.7235 alpha=90.00 beta=90.00 gamma=90.00
Fractional positions:
Cr: 0.0000 0.0000 0.5000
Cr: 0.0000 0.5000 0.0000
Cr: 0.5000 0.0000 0.0000
Cu: 0.5000 0.5000 0.5000
Ge: 0.0000 0.0000 0.0000

Arrangement x

DFT (PBE) results for a relaxed Cr3CuGe crystal.

Its calculated density is 5.20 g/cm3.

Unit cell a=4.5350 b=4.5350 c=4.5350 alpha=90.00 beta=90.00 gamma=90.00
Fractional positions:
Cr: 0.0000 0.0000 0.5000
Cr: 0.0000 0.5000 0.0000
Cr: 0.5000 0.0000 0.0000
Cu: 0.0000 0.0000 0.0000
Ge: 0.5000 0.5000 0.5000

Which structure wins on stability? arrangement w wins.

Arrangement w

DFT (PBE) results for a relaxed CrCu3Ge crystal.

Its calculated density is 5.48 g/cm3.

Unit cell a=4.5701 b=4.5701 c=4.5701 alpha=90.00 beta=90.00 gamma=90.00
Fractional positions:
Cr: 0.0000 0.0000 0.0000
Cu: 0.0000 0.0000 0.5000
Cu: 0.0000 0.5000 0.0000
Cu: 0.5000 0.0000 0.0000
Ge: 0.5000 0.5000 0.5000

Arrangement x

DFT (PBE) results for a relaxed CrCu3Ge crystal.

Its calculated density is 6.17 g/cm3.

Unit cell a=4.3944 b=4.3944 c=4.3944 alpha=90.00 beta=90.00 gamma=90.00
Fractional positions:
Cr: 0.0000 0.0000 0.0000
Cu: 0.0000 0.5000 0.5000
Cu: 0.5000 0.0000 0.5000
Cu: 0.5000 0.5000 0.0000
Ge: 0.5000 0.5000 0.5000

Which structure wins on stability? arrangement x wins.